(1)
Tl2ReSi | Alexandria | PBE | optimized geometry; formation energy from raw total energies = 1117.1 meV per atom; energy = -18.14 eV/cell; volume = 81.1 Å³/cell
1.0
-2.2128 -1.9049 -0.4762
2.7408 -2.1411 -4.1713
4.3785 -5.0302 -0.2244
Re Tl Si
1 2 1
Cartesian
2.4533 -4.5381 -2.4359 Re
0.2640 -2.0230 -2.3237 Tl
0.0000 0.0000 0.0000 Tl
2.1893 -2.5151 -0.1122 Si

=====

(2)
CdSi2Br | Alexandria | PBE | optimized geometry; formation energy from raw total energies = 524.1 meV per atom; energy = -11.34 eV/cell; volume = 97.6 Å³/cell
1.0
7.3409 -0.0212 0.0000
5.4118 4.9600 0.0000
-6.3764 -2.4694 2.6708
Si Cd Br
2 1 1
Cartesian
6.3764 2.4694 0.0000 Si
0.0000 0.0000 0.0000 Si
3.6705 -0.0106 1.3354 Cd
2.7059 2.4800 1.3354 Br

=====

(3)
LiLaYRh | Alexandria | PBE | optimized geometry; energy = -22.20 eV/cell; volume = 92.5 Å³/cell; energy of formation = -149 kJ/mol of formula units
1.0
5.0759 0.0000 0.0000
2.5379 4.3958 0.0000
2.5379 1.4653 4.1444
Y Rh Li La
1 1 1 1
Cartesian
0.0000 0.0000 0.0000 Y
2.5379 1.4653 1.0361 Rh
7.6138 4.3958 3.1083 Li
5.0759 2.9305 2.0722 La

=====

(4)
GdHoLu2 | Alexandria | PBE | optimized geometry; energy = -27.58 eV/cell; volume = 121.6 Å³/cell; energy of formation = 12 kJ/mol of formula units
1.0
-1.4283 4.2007 -2.1325
-1.8405 -2.5725 -3.8347
-4.3866 -0.3153 2.3169
Ho Lu Gd
1 2 1
Cartesian
-3.8277 0.6564 -1.8251 Ho
-2.1933 -0.1577 1.1585 Lu
-0.9203 -1.2862 -1.9173 Lu
-0.7141 2.1003 -1.0662 Gd

=====

(5)
TcBiTeF2 | Alexandria | PBE | optimized geometry; formation energy from raw total energies = -668.3 meV per atom; energy = -24.47 eV/cell; volume = 116.1 Å³/cell
1.0
4.3702 0.0000 0.0000
0.0000 4.3702 0.0000
0.0000 0.0000 6.0777
Bi Te F Tc
1 1 2 1
Cartesian
0.0000 0.0000 0.0000 Bi
2.1851 2.1851 3.0389 Te
0.0000 2.1851 0.0000 F
2.1851 0.0000 0.0000 F
0.0000 0.0000 3.0389 Tc

=====

(6)
Sr2AlSiPb | Alexandria | PBE | optimized geometry; formation energy from raw total energies = 503.4 meV per atom; energy = -13.72 eV/cell; volume = 205.7 Å³/cell
1.0
6.3457 0.0000 0.0000
0.0000 5.1083 0.0000
0.0000 0.0000 6.3457
Al Si Sr Pb
1 1 2 1
Cartesian
3.1729 2.5542 3.1729 Al
0.0000 2.5542 0.0000 Si
3.1729 0.0000 0.0000 Sr
0.0000 0.0000 3.1729 Sr
0.0000 0.0000 0.0000 Pb

=====

(7)
CrCo2SnN | Alexandria | PBE | optimized geometry; formation energy from raw total energies = -93.6 meV per atom; energy = -36.63 eV/cell; volume = 58.5 Å³/cell
1.0
3.8803 0.0000 0.0000
0.0000 3.8803 0.0000
0.0000 0.0000 3.8856
N Cr Co Sn
1 1 2 1
Cartesian
0.0000 0.0000 0.0000 N
0.0000 0.0000 1.9428 Cr
0.0000 1.9401 0.0000 Co
1.9401 0.0000 0.0000 Co
1.9401 1.9401 1.9428 Sn

=====

(8)
SrTlAs3 | Alexandria | PBE | optimized geometry; energy = -14.61 eV/cell; volume = 185.9 Å³/cell; energy of formation = 327 kJ/mol of formula units
1.0
5.7077 0.0000 0.0000
0.0000 5.7077 0.0000
0.0000 0.0000 5.7077
As Tl Sr
3 1 1
Cartesian
2.8538 0.0000 0.0000 As
0.0000 2.8538 0.0000 As
0.0000 0.0000 2.8538 As
2.8538 2.8538 2.8538 Tl
0.0000 0.0000 0.0000 Sr